AlZnN2O: relaxed, PBE.

Its energy is -4.2252 eV/atom. For the raw formation energy, the calculation gives 1100 meV/atom. As for the crystal system: tetragonal.

The space group is P4/mmm (No. 123) and the conventional cell measures 3.8059, 3.8059 and 3.8143 Å, with angles of 90.00, 90.00 and 90.00 degrees. The distinct sites, in fractional coordinates, are Al at (0.0000, 0.0000, 0.0000), Zn at (0.5000, 0.5000, 0.5000), N at (0.0000, 0.5000, 0.5000) and O at (0.5000, 0.5000, 0.0000).